# 1
# PBE-GGA ThSc3Zn8, optimized geometry
# Energy of formation from the pure elements ... -0.290 eV per atom
data_ThSc3Zn8
_chemical_formula_sum 'Th1 Sc3 Zn8'
_symmetry_space_group_name_H-M 'P 3 m 1'
_symmetry_Int_Tables_number 156
_cell_length_a 5.3685
_cell_length_b 5.3685
_cell_length_c 8.6429
_cell_angle_alpha 90.00
_cell_angle_beta 90.00
_cell_angle_gamma 120.00
loop_
_symmetry_equiv_pos_as_xyz
'x,y,z'
'-y,x-y,z'
'-x+y,-x,z'
'-y,-x,z'
'-x+y,y,z'
'x,x-y,z'
loop_
_atom_site_label
_atom_site_type_symbol
_atom_site_fract_x
_atom_site_fract_y
_atom_site_fract_z
_atom_site_occupancy
Th1 Th 0.0000 0.0000 0.0000 1
Sc1 Sc 0.0000 0.0000 0.3775 1
Sc2 Sc 0.6667 0.3333 0.4947 1
Sc3 Sc 0.6667 0.3333 0.8629 1
Zn1 Zn 0.1626 0.3252 0.6769 1
Zn2 Zn 0.3333 0.6667 0.4372 1
Zn3 Zn 0.3333 0.6667 0.9330 1
Zn4 Zn 0.5051 0.0103 0.1939 1

---

# 2
# PBE-GGA CoSiSe2, optimized geometry
# Formation energy without anion corrections ... 0.120 eV/atom
data_CoSiSe2
_chemical_formula_sum 'Co3 Si3 Se6'
_symmetry_space_group_name_H-M 'R -3 m'
_symmetry_Int_Tables_number 166
_symmetry_space_group_name_Hall '-R 3 2"'
_cell_length_a 3.4291
_cell_length_b 3.4291
_cell_length_c 23.4072
_cell_angle_alpha 90.00
_cell_angle_beta 90.00
_cell_angle_gamma 120.00
loop_
_atom_site_label
_atom_site_type_symbol
_atom_site_fract_x
_atom_site_fract_y
_atom_site_fract_z
_atom_site_occupancy
Co1 Co 0.0000 0.0000 0.0000 1
Si1 Si 0.0000 0.0000 0.5000 1
Se1 Se 0.0000 0.0000 0.3877 1

---

# 3
# PBE-GGA YInCo5, optimized geometry
# ΔE to the lowest computed polymorph ... 96.5 meV per atom
# Energy of formation from the pure elements ... 0.359 eV per atom
data_YInCo5
_chemical_formula_sum 'Y1 In1 Co5'
_symmetry_space_group_name_H-M 'P 4/m m m'
_symmetry_Int_Tables_number 123
_symmetry_space_group_name_Hall '-P 4 2'
_cell_length_a 3.578
_cell_length_b 3.578
_cell_length_c 8.569
_cell_angle_alpha 90.00
_cell_angle_beta 90.00
_cell_angle_gamma 90.00
loop_
_atom_site_label
_atom_site_type_symbol
_atom_site_fract_x
_atom_site_fract_y
_atom_site_fract_z
_atom_site_occupancy
Y1 Y 0.000 0.000 0.000 1
In1 In 0.000 0.000 0.500 1
Co1 Co 0.000 0.500 0.257 1
Co2 Co 0.500 0.500 0.000 1

---

# 4
# PBE-GGA Co2CuAs, optimized geometry
# Energy of formation from the pure elements ... 0.117 eV per atom
data_Co2CuAs
_chemical_formula_sum 'Co4 Cu2 As2'
_symmetry_space_group_name_H-M 'C 1 m 1'
_symmetry_Int_Tables_number 8
_cell_length_a 8.870
_cell_length_b 2.811
_cell_length_c 4.170
_cell_angle_alpha 90.00
_cell_angle_beta 111.04
_cell_angle_gamma 90.00
loop_
_symmetry_equiv_pos_as_xyz
'x,y,z'
'x,-y,z'
'x+1/2,y+1/2,z'
'x+1/2,-y+1/2,z'
loop_
_atom_site_label
_atom_site_type_symbol
_atom_site_fract_x
_atom_site_fract_y
_atom_site_fract_z
_atom_site_occupancy
Co1 Co 0.000 0.000 0.000 1
Co2 Co 0.241 0.500 0.404 1
Cu1 Cu 0.486 0.000 0.492 1
As1 As 0.256 0.000 0.895 1

---

# 5
# PBE-GGA Ni3Ir, optimized geometry
# Energy of formation from the pure elements ... 0.015 eV per atom
data_Ni3Ir
_chemical_formula_sum 'Ni12 Ir4'
_symmetry_space_group_name_H-M 'P n m a'
_symmetry_Int_Tables_number 62
_cell_length_a 4.483
_cell_length_b 8.342
_cell_length_c 5.116
_cell_angle_alpha 90.00
_cell_angle_beta 90.00
_cell_angle_gamma 90.00
loop_
_symmetry_equiv_pos_as_xyz
'x,y,z'
'-x,-y,-z'
'-x+1/2,-y,z+1/2'
'x+1/2,y,-z+1/2'
'x+1/2,-y+1/2,-z+1/2'
'-x+1/2,y+1/2,z+1/2'
'-x,y+1/2,-z'
'x,-y+1/2,z'
loop_
_atom_site_label
_atom_site_type_symbol
_atom_site_fract_x
_atom_site_fract_y
_atom_site_fract_z
_atom_site_occupancy
Ni1 Ni 0.081 0.250 0.130 1
Ni2 Ni 0.250 0.002 0.377 1
Ir1 Ir 0.078 0.250 0.624 1

---

# 6
# PBE-GGA MgPaP2, optimized geometry
# ΔE to the lowest computed polymorph ... 68.1 meV per atom
# Energy of formation from the pure elements ... -0.816 eV per atom
data_MgPaP2
_chemical_formula_sum 'Mg3 Pa3 P6'
_symmetry_space_group_name_H-M 'R 3 m'
_symmetry_Int_Tables_number 160
_symmetry_space_group_name_Hall 'R 3 -2"'
_cell_length_a 3.9283
_cell_length_b 3.9283
_cell_length_c 19.1672
_cell_angle_alpha 90.00
_cell_angle_beta 90.00
_cell_angle_gamma 120.00
loop_
_atom_site_label
_atom_site_type_symbol
_atom_site_fract_x
_atom_site_fract_y
_atom_site_fract_z
_atom_site_occupancy
Mg1 Mg 0.0000 0.0000 0.0000 1
Pa1 Pa 0.0000 0.0000 0.8266 1
P1 P 0.0000 0.0000 0.2445 1
P2 P 0.0000 0.0000 0.4089 1

---

# 7
# PBE-GGA MnFeAg2, optimized geometry
# ΔE to the lowest computed polymorph ... 177.0 meV per atom
# Energy of formation from the pure elements ... 0.433 eV per atom
data_MnFeAg2
_chemical_formula_sum 'Mn2 Fe2 Ag4'
_symmetry_space_group_name_H-M 'C m m m'
_symmetry_Int_Tables_number 65
_symmetry_space_group_name_Hall '-C 2 2'
_cell_length_a 3.091
_cell_length_b 4.482
_cell_length_c 9.108
_cell_angle_alpha 90.00
_cell_angle_beta 90.00
_cell_angle_gamma 90.00
loop_
_atom_site_label
_atom_site_type_symbol
_atom_site_fract_x
_atom_site_fract_y
_atom_site_fract_z
_atom_site_occupancy
Mn1 Mn 0.000 0.000 0.000 1
Fe1 Fe 0.000 0.000 0.500 1
Ag1 Ag 0.000 0.500 0.253 1

---

# 8
# PBE-GGA CdPtW3, optimized geometry
# ΔE to the lowest computed polymorph ... 0.0 meV per atom
# Energy of formation from the pure elements ... 2.024 eV per atom
data_CdPtW3
_chemical_formula_sum 'Cd1 Pt1 W3'
_symmetry_space_group_name_H-M 'P m -3 m'
_symmetry_Int_Tables_number 221
_symmetry_space_group_name_Hall '-P 4 2 3'
_cell_length_a 4.813
_cell_length_b 4.813
_cell_length_c 4.813
_cell_angle_alpha 90.00
_cell_angle_beta 90.00
_cell_angle_gamma 90.00
loop_
_atom_site_label
_atom_site_type_symbol
_atom_site_fract_x
_atom_site_fract_y
_atom_site_fract_z
_atom_site_occupancy
Cd1 Cd 0.000 0.000 0.000 1
Pt1 Pt 0.500 0.500 0.500 1
W1 W 0.000 0.500 0.500 1

---

# 9
# PBE-GGA HfNiAu3, optimized geometry
# ΔE to the lowest computed polymorph ... 0.0 meV per atom
# Energy of formation from the pure elements ... -0.323 eV per atom
data_HfNiAu3
_chemical_formula_sum 'Hf4 Ni4 Au12'
_symmetry_space_group_name_H-M 'P 1 21/c 1'
_symmetry_Int_Tables_number 14
_cell_length_a 7.247
_cell_length_b 5.724
_cell_length_c 8.600
_cell_angle_alpha 90.00
_cell_angle_beta 107.69
_cell_angle_gamma 90.00
loop_
_symmetry_equiv_pos_as_xyz
'x,y,z'
'-x,-y,-z'
'-x,y+1/2,-z+1/2'
'x,-y+1/2,z+1/2'
loop_
_atom_site_label
_atom_site_type_symbol
_atom_site_fract_x
_atom_site_fract_y
_atom_site_fract_z
_atom_site_occupancy
Hf1 Hf 0.220 0.006 0.307 1
Ni1 Ni 0.383 0.246 0.594 1
Au1 Au 0.004 0.250 0.002 1
Au2 Au 0.220 0.001 0.808 1
Au3 Au 0.406 0.747 0.102 1

---

# 10
# PBE-GGA Mg6MoC, optimized geometry
# ΔE to the lowest computed polymorph ... 0.0 meV per atom
# Energy of formation from the pure elements ... 0.287 eV per atom
data_Mg6MoC
_chemical_formula_sum 'Mg12 Mo2 C2'
_symmetry_space_group_name_H-M 'A m m 2'
_symmetry_Int_Tables_number 38
_cell_length_a 3.204
_cell_length_b 9.952
_cell_length_c 10.762
_cell_angle_alpha 90.00
_cell_angle_beta 90.00
_cell_angle_gamma 90.00
loop_
_symmetry_equiv_pos_as_xyz
'x,y,z'
'-x,-y,z'
'-x,y,z'
'x,-y,z'
'x,y+1/2,z+1/2'
'-x,-y+1/2,z+1/2'
'-x,y+1/2,z+1/2'
'x,-y+1/2,z+1/2'
loop_
_atom_site_label
_atom_site_type_symbol
_atom_site_fract_x
_atom_site_fract_y
_atom_site_fract_z
_atom_site_occupancy
Mg1 Mg 0.000 0.000 0.000 1
Mg2 Mg 0.000 0.177 0.759 1
Mg3 Mg 0.500 0.000 0.249 1
Mg4 Mg 0.500 0.234 0.505 1
Mo1 Mo 0.000 0.000 0.555 1
C1 C 0.500 0.000 0.451 1

---

# 11
# PBE-GGA CdSb2Au2, optimized geometry
# ΔE to the lowest computed polymorph ... 51.0 meV per atom
# Formation energy without anion corrections ... 0.028 eV/atom
data_CdSb2Au2
_chemical_formula_sum 'Cd2 Sb4 Au4'
_symmetry_space_group_name_H-M 'P 4/m b m'
_symmetry_Int_Tables_number 127
_symmetry_space_group_name_Hall '-P 4 2ab'
_cell_length_a 7.520
_cell_length_b 7.520
_cell_length_c 4.090
_cell_angle_alpha 90.00
_cell_angle_beta 90.00
_cell_angle_gamma 90.00
loop_
_atom_site_label
_atom_site_type_symbol
_atom_site_fract_x
_atom_site_fract_y
_atom_site_fract_z
_atom_site_occupancy
Cd1 Cd 0.000 0.000 0.000 1
Sb1 Sb 0.172 0.328 0.500 1
Au1 Au 0.135 0.635 0.000 1

---

# 12
# PBE-GGA K2SbAu, optimized geometry
# Formation energy without anion corrections ... -0.170 eV/atom
data_K2SbAu
_chemical_formula_sum 'K2 Sb1 Au1'
_symmetry_space_group_name_H-M 'P 4/m m m'
_symmetry_Int_Tables_number 123
_symmetry_space_group_name_Hall '-P 4 2'
_cell_length_a 4.734
_cell_length_b 4.734
_cell_length_c 5.258
_cell_angle_alpha 90.00
_cell_angle_beta 90.00
_cell_angle_gamma 90.00
loop_
_atom_site_label
_atom_site_type_symbol
_atom_site_fract_x
_atom_site_fract_y
_atom_site_fract_z
_atom_site_occupancy
K1 K 0.000 0.500 0.000 1
Sb1 Sb 0.000 0.000 0.500 1
Au1 Au 0.500 0.500 0.500 1

---

# 13
# PBE-GGA ErInAg, optimized geometry
# Energy of formation from the pure elements ... -0.268 eV per atom
data_ErInAg
_chemical_formula_sum 'Er4 In4 Ag4'
_symmetry_space_group_name_H-M 'F -4 3 m'
_symmetry_Int_Tables_number 216
_symmetry_space_group_name_Hall 'F -4 2 3'
_cell_length_a 6.757
_cell_length_b 6.757
_cell_length_c 6.757
_cell_angle_alpha 90.00
_cell_angle_beta 90.00
_cell_angle_gamma 90.00
loop_
_atom_site_label
_atom_site_type_symbol
_atom_site_fract_x
_atom_site_fract_y
_atom_site_fract_z
_atom_site_occupancy
Er1 Er 0.000 0.000 0.000 1
In1 In 0.000 0.000 0.500 1
Ag1 Ag 0.250 0.250 0.250 1

---

# 14
# PBE-GGA Tb7PrCd2, optimized geometry
# Energy of formation from the pure elements ... 0.407 eV per atom
data_Tb7PrCd2
_chemical_formula_sum 'Tb14 Pr2 Cd4'
_symmetry_space_group_name_H-M 'C m m m'
_symmetry_Int_Tables_number 65
_symmetry_space_group_name_Hall '-C 2 2'
_cell_length_a 9.061
_cell_length_b 15.420
_cell_length_c 5.411
_cell_angle_alpha 90.00
_cell_angle_beta 90.00
_cell_angle_gamma 90.00
loop_
_atom_site_label
_atom_site_type_symbol
_atom_site_fract_x
_atom_site_fract_y
_atom_site_fract_z
_atom_site_occupancy
Tb1 Tb 0.000 0.000 0.000 1
Tb2 Tb 0.000 0.266 0.500 1
Tb3 Tb 0.182 0.380 0.000 1
Pr1 Pr 0.000 0.500 0.500 1
Cd1 Cd 0.000 0.197 0.000 1

---

# 15
# PBE-GGA CsSi2Ag2, optimized geometry
# Formation energy without anion corrections ... 0.247 eV/atom
data_CsSi2Ag2
_chemical_formula_sum 'Cs2 Si4 Ag4'
_symmetry_space_group_name_H-M 'I 4/m m m'
_symmetry_Int_Tables_number 139
_symmetry_space_group_name_Hall '-I 4 2'
_cell_length_a 4.921
_cell_length_b 4.921
_cell_length_c 9.876
_cell_angle_alpha 90.00
_cell_angle_beta 90.00
_cell_angle_gamma 90.00
loop_
_atom_site_label
_atom_site_type_symbol
_atom_site_fract_x
_atom_site_fract_y
_atom_site_fract_z
_atom_site_occupancy
Cs1 Cs 0.000 0.000 0.000 1
Si1 Si 0.000 0.000 0.381 1
Ag1 Ag 0.000 0.500 0.250 1

---

# 16
# PBE-GGA H3Pd4Au, optimized geometry
# E ... -4.328 eV per atom
data_H3Pd4Au
_chemical_formula_sum 'H6 Pd8 Au2'
_symmetry_space_group_name_H-M 'P 1'
_symmetry_Int_Tables_number 1
_cell_length_a 5.059
_cell_length_b 5.693
_cell_length_c 6.973
_cell_angle_alpha 106.56
_cell_angle_beta 111.19
_cell_angle_gamma 90.25
loop_
_symmetry_equiv_pos_as_xyz
'x,y,z'
loop_
_atom_site_label
_atom_site_type_symbol
_atom_site_fract_x
_atom_site_fract_y
_atom_site_fract_z
_atom_site_occupancy
H1 H 0.000 0.000 0.000 1
H2 H 0.027 0.194 0.550 1
H3 H 0.228 0.568 0.943 1
H4 H 0.330 0.694 0.549 1
H5 H 0.522 0.066 0.941 1
H6 H 0.807 0.498 0.997 1
Pd1 Pd 0.123 0.612 0.257 1
Pd2 Pd 0.142 0.519 0.655 1
Pd3 Pd 0.320 0.018 0.654 1
Pd4 Pd 0.352 0.905 0.063 1
Pd5 Pd 0.517 0.404 0.061 1
Pd6 Pd 0.736 0.720 0.848 1
Pd7 Pd 0.917 0.219 0.846 1
Pd8 Pd 0.943 0.114 0.259 1
Au1 Au 0.537 0.309 0.451 1
Au2 Au 0.722 0.808 0.450 1

---

# 17
# PBE-GGA Re2AgNF, optimized geometry
# Formation energy without anion corrections ... 0.475 eV/atom
data_Re2AgNF
_chemical_formula_sum 'Re2 Ag1 N1 F1'
_symmetry_space_group_name_H-M 'P 4/m m m'
_symmetry_Int_Tables_number 123
_symmetry_space_group_name_Hall '-P 4 2'
_cell_length_a 3.889
_cell_length_b 3.889
_cell_length_c 5.001
_cell_angle_alpha 90.00
_cell_angle_beta 90.00
_cell_angle_gamma 90.00
loop_
_atom_site_label
_atom_site_type_symbol
_atom_site_fract_x
_atom_site_fract_y
_atom_site_fract_z
_atom_site_occupancy
Re1 Re 0.000 0.500 0.000 1
Ag1 Ag 0.000 0.000 0.500 1
N1 N 0.500 0.500 0.000 1
F1 F 0.500 0.500 0.500 1

---

# 18
# PBE-GGA Tc2TeSe, optimized geometry
# ΔE to the lowest computed polymorph ... 139.3 meV per atom
# Formation energy without anion corrections ... 0.127 eV/atom
data_Tc2TeSe
_chemical_formula_sum 'Tc6 Te3 Se3'
_symmetry_space_group_name_H-M 'R 3 m'
_symmetry_Int_Tables_number 160
_symmetry_space_group_name_Hall 'R 3 -2"'
_cell_length_a 3.1348
_cell_length_b 3.1348
_cell_length_c 29.8931
_cell_angle_alpha 90.00
_cell_angle_beta 90.00
_cell_angle_gamma 120.00
loop_
_atom_site_label
_atom_site_type_symbol
_atom_site_fract_x
_atom_site_fract_y
_atom_site_fract_z
_atom_site_occupancy
Tc1 Tc 0.0000 0.0000 0.0000 1
Tc2 Tc 0.0000 0.0000 0.2613 1
Te1 Te 0.0000 0.0000 0.7335 1
Se1 Se 0.0000 0.0000 0.5385 1

---

# 19
# PBE-GGA Na2SmAgSb2, optimized geometry
# Formation energy without anion corrections ... -0.605 eV/atom
data_Na2SmAgSb2
_chemical_formula_sum 'Na4 Sm2 Ag2 Sb4'
_symmetry_space_group_name_H-M 'P m c 21'
_symmetry_Int_Tables_number 26
_cell_length_a 4.571
_cell_length_b 9.171
_cell_length_c 7.740
_cell_angle_alpha 90.00
_cell_angle_beta 90.00
_cell_angle_gamma 90.00
loop_
_symmetry_equiv_pos_as_xyz
'x,y,z'
'-x,-y,z+1/2'
'-x,y,z'
'x,-y,z+1/2'
loop_
_atom_site_label
_atom_site_type_symbol
_atom_site_fract_x
_atom_site_fract_y
_atom_site_fract_z
_atom_site_occupancy
Na1 Na 0.000 0.072 0.000 1
Na2 Na 0.500 0.165 0.321 1
Sm1 Sm 0.500 0.445 0.934 1
Ag1 Ag 0.000 0.318 0.601 1
Sb1 Sb 0.000 0.382 0.220 1
Sb2 Sb 0.500 0.162 0.720 1

---

# 20
# PBE-GGA HgRh3S, optimized geometry
# ΔE to the lowest computed polymorph ... 1829.7 meV per atom
# Formation energy without anion corrections ... 1.900 eV/atom
data_HgRh3S
_chemical_formula_sum 'Hg1 Rh3 S1'
_symmetry_space_group_name_H-M 'P m -3 m'
_symmetry_Int_Tables_number 221
_symmetry_space_group_name_Hall '-P 4 2 3'
_cell_length_a 4.983
_cell_length_b 4.983
_cell_length_c 4.983
_cell_angle_alpha 90.00
_cell_angle_beta 90.00
_cell_angle_gamma 90.00
loop_
_atom_site_label
_atom_site_type_symbol
_atom_site_fract_x
_atom_site_fract_y
_atom_site_fract_z
_atom_site_occupancy
Hg1 Hg 0.000 0.000 0.000 1
Rh1 Rh 0.000 0.000 0.500 1
S1 S 0.500 0.500 0.500 1